{"formula": "Pm2InRh", "functional": "PBE", "state": "optimized geometry", "volume_a3_per_atom": 25.215, "spacegroup": "P4/mmm, No. 123", "formation_enthalpy_0k_mev_per_atom": -580, "dos_at_fermi_per_ev_atom": 0.57, "lattice_angstrom": [[-1.928, -0.738, -2.978], [-2.294, -1.989, 1.978], [-4.318, 6.226, 1.254]], "species": ["In", "Rh", "Pm", "Pm"], "frac_coords": [[0.500, 0.500, 0.500], [0.500, 0.500, 0.000], [0.000, 0.000, 0.782], [0.000, 0.000, 0.218]]}